Record 1
A plane-wave DFT calculation with SCAN was carried out for Ca2Ni3O8 at its PBEsol-relaxed geometry.

Output
raw formation energy = -1.775 eV/atom
magnetic moment = 0.000 μB/f.u.
SG = C2/m (12)

a = 4.884 Å, b = 5.752 Å, c = 6.112 Å
α = 118.07°, β = 107.03°, γ = 90.00°
Sites, in units of the cell vectors:
Ni1 0.500 0.000 0.000
Ca1 0.664 0.722 0.444
O1 0.611 0.678 0.801
O2 0.963 0.602 0.204
O3 0.389 0.322 0.199
O4 0.037 0.398 0.796
O5 0.099 0.906 0.812
O6 0.611 0.123 0.801
Ca2 0.336 0.278 0.556
O7 0.389 0.877 0.199
Ni2 0.000 0.748 0.000
Ni3 0.000 0.252 0.000
O8 0.901 0.094 0.188

---

Record 2
A plane-wave DFT calculation with SCAN was carried out for Zr2ZnTe at its PBEsol-relaxed geometry.

Output
raw formation energy = -0.415 eV/atom
magnetic moment = 0.000 μB/f.u.
SG = I4/mmm (139)

a = 4.467 Å, b = 5.079 Å, c = 4.467 Å
α = 63.91°, β = 90.00°, γ = 116.09°
Sites, in units of the cell vectors:
Zr1 0.250 0.500 0.250
Zr2 0.750 0.500 0.750
Zn1 0.000 0.000 0.000
Te1 0.500 0.000 0.500

---

Record 3
A plane-wave DFT calculation with SCAN was carried out for SrTlHg2 at its PBEsol-relaxed geometry.

Output
E above lowest polymorph = 85 meV per atom
magnetic moment = 0.000 μB/f.u.
energy relative to the elements = -395 meV/atom
SG = F-43m (216)

a = 5.273 Å, b = 5.273 Å, c = 5.273 Å
α = 60.00°, β = 60.00°, γ = 60.00°
Sites, in units of the cell vectors:
Hg1 0.750 0.750 0.750
Hg2 0.000 0.000 0.000
Sr1 0.500 0.500 0.500
Tl1 0.250 0.250 0.250

---

What is the formula in the first record?
Ca2Ni3O8

---

Number 2 is which compound?
Zr2ZnTe

---

Which formula does entry 3 have?
SrTlHg2